{"formula": "LaGaCl6", "functional": "PBE", "state": "relaxed", "cell": [[-4.318, 0.783, -4.767], [0.830, -5.122, -3.997], [-3.745, -5.765, 1.244]], "species": ["Cl", "Ga", "Cl", "Cl", "Cl", "La", "Cl", "Cl"], "frac_coords": [[0.731, 0.740, 0.000], [0.500, 0.500, 0.000], [0.717, 0.429, 0.724], [0.283, 0.847, 0.724], [0.283, 0.571, 0.276], [0.000, 0.000, 0.000], [0.717, 0.153, 0.276], [0.269, 0.260, 0.000]], "final_energy_ev_per_cell": -32.14, "spacegroup": "C2/m (12)"}

***

{"formula": "AlNiCl2", "functional": "PBE", "state": "relaxed", "cell": [[-2.553, -1.791, -0.535], [1.496, -1.414, -2.403], [2.620, -5.121, 4.644]], "species": ["Cl", "Al", "Ni", "Cl"], "frac_coords": [[0.000, 0.000, 0.044], [0.500, 0.500, 0.750], [0.500, 0.500, 0.250], [0.000, 0.000, 0.456]], "final_energy_ev_per_cell": -12.68, "spacegroup": "P4/mmm (123)", "relative_energy_ev_per_atom": 0.705}

***

{"formula": "ZrSbRu2", "functional": "PBE", "state": "relaxed", "cell": [[4.648, 0.000, 0.000], [2.324, 4.026, 0.000], [2.324, 1.342, 3.795]], "species": ["Sb", "Ru", "Ru", "Zr"], "frac_coords": [[0.500, 0.500, 0.500], [0.250, 0.250, 0.250], [0.000, 0.000, 0.000], [0.750, 0.750, 0.750]], "final_energy_ev_per_cell": -30.93, "spacegroup": "F-43m (216)"}

***

{"formula": "Tc3WC", "functional": "PBE", "state": "relaxed", "cell": [[4.150, 0.000, 0.000], [2.075, 4.486, 0.040], [2.075, 0.997, 7.138]], "species": ["C", "Tc", "Tc", "Tc", "Tc", "W", "C", "Tc", "W", "Tc"], "frac_coords": [[0.880, 0.304, 0.935], [0.622, 0.686, 0.070], [0.132, 0.949, 0.787], [0.872, 0.577, 0.678], [0.128, 0.423, 0.322], [0.382, 0.805, 0.432], [0.120, 0.696, 0.065], [0.378, 0.314, 0.930], [0.618, 0.195, 0.568], [0.868, 0.051, 0.213]], "final_energy_ev_per_cell": -105.59, "spacegroup": "C2/m (12)", "e_form_ev_per_atom": 0.096, "relative_energy_ev_per_atom": 0.015}

***

{"formula": "Ce4Pt2Au", "functional": "PBE", "state": "relaxed", "cell": [[4.481, 0.000, 0.000], [2.240, 3.880, 0.000], [2.240, 1.293, 10.724]], "species": ["Pt", "Pt", "Ce", "Ce", "Au", "Ce", "Ce"], "frac_coords": [[0.095, 0.095, 0.714], [0.905, 0.905, 0.286], [0.616, 0.616, 0.153], [0.194, 0.194, 0.417], [0.000, 0.000, 0.000], [0.806, 0.806, 0.583], [0.384, 0.384, 0.847]], "final_energy_ev_per_cell": -43.91, "spacegroup": "R-3m (166)", "e_form_ev_per_atom": -0.689, "relative_energy_ev_per_atom": 0.065}

***

{"formula": "Re2IrRu", "functional": "PBE", "state": "relaxed", "cell": [[5.558, 0.000, 0.000], [0.000, 5.558, 0.000], [2.779, 2.779, 5.623]], "species": ["Ir", "Ru", "Re", "Re", "Re", "Re", "Ir", "Ru"], "frac_coords": [[0.750, 0.250, 0.500], [0.500, 0.500, 0.000], [0.375, 0.377, 0.750], [0.875, 0.873, 0.750], [0.127, 0.625, 0.250], [0.623, 0.125, 0.250], [0.000, 0.000, 0.000], [0.250, 0.750, 0.500]], "final_energy_ev_per_cell": -76.15, "spacegroup": "I-42d (122)", "e_form_ev_per_atom": 1.239, "relative_energy_ev_per_atom": 1.450}